# ScAl2 (GGA-PBEsol, relaxed)
# Fermi-level density of states	1.00	states/eV per atom
# density	2.936	g/cm³
# ΔH_f (0 K)	-0.081	eV/atom
data_ScAl2
_cell_length_a 3.0146
_cell_length_b 3.0146
_cell_length_c 7.1087
_cell_angle_alpha 90.00
_cell_angle_beta 90.00
_cell_angle_gamma 120.00
_symmetry_space_group_name_H-M 'P -3 m 1'
_symmetry_Int_Tables_number 164
_symmetry_space_group_name_Hall '-P 3 2"'
loop_
_atom_site_label
_atom_site_fract_x
_atom_site_fract_y
_atom_site_fract_z
Sc1 0.0000 0.0000 0.0000
Al1 0.3333 0.6667 0.3425